1.
Tl2Co2Ir | GGA-PBE | optimized geometry

Properties
Energy of formation, eV per atom: 0.89
ρ, Mg/m³: 13.12
DFT total energy, eV per atom: -4.669
Space group: I4/mmm, No. 139
Total moment, μB/f.u.: 2.54

Unit cell a=5.0323 b=5.0323 c=7.1862 alpha=90.00 beta=90.00 gamma=90.00
Sites, in units of the cell vectors:
Tl 0.0000 0.5000 0.2500
Tl 0.0000 0.5000 0.7500
Tl 0.5000 0.0000 0.2500
Tl 0.5000 0.0000 0.7500
Co 0.0000 0.0000 0.1501
Co 0.0000 0.0000 0.8499
Co 0.5000 0.5000 0.3499
Co 0.5000 0.5000 0.6501
Ir 0.0000 0.0000 0.5000
Ir 0.5000 0.5000 0.0000



2.
Ac3CuPd8 | GGA-PBE | optimized geometry

Properties
Energy of formation, eV per atom: -0.65
ρ, Mg/m³: 10.65
DFT total energy, eV per atom: -5.480
Space group: R3m, No. 160
Total moment, μB/f.u.: 0.00

Unit cell a=9.7118 b=9.7118 c=9.7118 alpha=33.52 beta=33.52 gamma=33.52
Sites, in units of the cell vectors:
Ac 0.0000 0.0000 0.0000
Ac 0.1323 0.1323 0.1323
Ac 0.6030 0.6030 0.6030
Cu 0.4740 0.4740 0.4740
Pd 0.0579 0.0579 0.5642
Pd 0.0579 0.5642 0.0579
Pd 0.0602 0.5600 0.5600
Pd 0.3096 0.3096 0.3096
Pd 0.5600 0.0602 0.5600
Pd 0.5600 0.5600 0.0602
Pd 0.5642 0.0579 0.0579
Pd 0.8104 0.8104 0.8104



3.
BaBN2 | GGA-PBE | optimized geometry

Properties
Formation energy from raw total energies, eV per atom: -0.563
ρ, Mg/m³: 3.41
DFT total energy, eV per atom: -6.875
Space group: R-3m, No. 166
Total moment, μB/f.u.: 1.00

Unit cell a=4.3157 b=4.3157 c=15.9438 alpha=90.00 beta=90.00 gamma=120.00
Sites, in units of the cell vectors:
Ba 0.0000 0.0000 0.0000
Ba 0.3333 0.6667 0.6667
Ba 0.6667 0.3333 0.3333
B 0.0000 0.0000 0.5000
B 0.3333 0.6667 0.1667
B 0.6667 0.3333 0.8333
N 0.0000 0.0000 0.4159
N 0.0000 0.0000 0.5841
N 0.3333 0.6667 0.0825
N 0.3333 0.6667 0.2508
N 0.6667 0.3333 0.7492
N 0.6667 0.3333 0.9175



4.
UIr4 | GGA-PBE | optimized geometry

Properties
Energy of formation, eV per atom: 1.78
ρ, Mg/m³: 14.95
DFT total energy, eV per atom: -7.569
Space group: Pm-3m, No. 221
Total moment, μB/f.u.: 0.00

Unit cell a=4.8183 b=4.8183 c=4.8183 alpha=90.00 beta=90.00 gamma=90.00
Sites, in units of the cell vectors:
U 0.0000 0.0000 0.0000
Ir 0.0000 0.0000 0.5000
Ir 0.0000 0.5000 0.0000
Ir 0.5000 0.0000 0.0000
Ir 0.5000 0.5000 0.5000